[1]
{"formula": "Ce2Pm2Rh3", "functional": "PBE", "state": "relaxed", "relative_energy_mev_per_atom": 51, "formation_energy_ev_per_atom": -0.6063, "spacegroup": "C2/m", "lattice_angstrom": [[7.298, -2.138, 0.000], [7.298, 2.138, 0.000], [-1.148, 0.000, 5.750]], "species": ["Ce", "Ce", "Pm", "Pm", "Rh", "Rh", "Rh"], "frac_coords": [[0.164, 0.164, 0.323], [0.836, 0.836, 0.677], [0.410, 0.410, 0.198], [0.590, 0.590, 0.802], [0.000, 0.000, 0.000], [0.232, 0.232, 0.812], [0.768, 0.768, 0.188]]}


[2]
{"formula": "CePm4Rh2", "functional": "PBE", "state": "relaxed", "relative_energy_mev_per_atom": 23, "formation_energy_ev_per_atom": -0.2994, "spacegroup": "R-3m", "lattice_angstrom": [[2.690, 1.553, 8.269], [-2.690, 1.553, 8.269], [0.000, -3.106, 8.269]], "species": ["Ce", "Pm", "Pm", "Pm", "Pm", "Rh", "Rh"], "frac_coords": [[0.000, 0.000, 0.000], [0.210, 0.210, 0.210], [0.407, 0.407, 0.407], [0.593, 0.593, 0.593], [0.790, 0.790, 0.790], [0.099, 0.099, 0.099], [0.901, 0.901, 0.901]]}


[3]
{"formula": "CePm2Rh", "functional": "PBE", "state": "relaxed", "relative_energy_mev_per_atom": 362, "formation_energy_ev_per_atom": -0.0472, "spacegroup": "R-3m", "lattice_angstrom": [[1.852, 1.069, 10.579], [-1.852, 1.069, 10.579], [0.000, -2.138, 10.579]], "species": ["Ce", "Pm", "Pm", "Rh"], "frac_coords": [[0.000, 0.000, 0.000], [0.110, 0.110, 0.110], [0.890, 0.890, 0.890], [0.500, 0.500, 0.500]]}


[4]
{"formula": "Ce2PmRh3", "functional": "PBE", "state": "relaxed", "formation_energy_ev_per_atom": -0.6609, "spacegroup": "C2/c", "lattice_angstrom": [[6.395, -2.875, 0.000], [6.395, 2.875, 0.000], [-2.466, 0.000, 7.561]], "species": ["Ce", "Ce", "Ce", "Ce", "Pm", "Pm", "Rh", "Rh", "Rh", "Rh", "Rh", "Rh"], "frac_coords": [[0.161, 0.170, 0.083], [0.170, 0.161, 0.583], [0.830, 0.839, 0.417], [0.839, 0.830, 0.917], [0.494, 0.506, 0.750], [0.506, 0.494, 0.250], [0.006, 0.994, 0.250], [0.317, 0.326, 0.411], [0.326, 0.317, 0.911], [0.674, 0.683, 0.089], [0.683, 0.674, 0.589], [0.994, 0.006, 0.750]]}


[5]
{"formula": "Ce2Pm2Rh", "functional": "PBE", "state": "relaxed", "formation_energy_ev_per_atom": -0.2014, "spacegroup": "C2/m", "lattice_angstrom": [[3.655, -6.071, 0.000], [3.655, 6.071, 0.000], [-3.014, 0.000, 6.410]], "species": ["Ce", "Ce", "Ce", "Ce", "Pm", "Pm", "Pm", "Pm", "Rh", "Rh"], "frac_coords": [[0.225, 0.225, 0.414], [0.227, 0.227, 0.812], [0.773, 0.773, 0.188], [0.775, 0.775, 0.586], [0.240, 0.673, 0.244], [0.327, 0.760, 0.756], [0.673, 0.240, 0.244], [0.760, 0.327, 0.756], [0.118, 0.882, 0.000], [0.882, 0.118, 0.000]]}


[6]
{"formula": "CePm2Rh2", "functional": "PBE", "state": "relaxed", "relative_energy_mev_per_atom": 0, "formation_energy_ev_per_atom": -0.6408, "spacegroup": "C2/c", "lattice_angstrom": [[5.677, -3.078, 0.000], [5.677, 3.078, 0.000], [-1.395, 0.000, 7.240]], "species": ["Ce", "Ce", "Pm", "Pm", "Pm", "Pm", "Rh", "Rh", "Rh", "Rh"], "frac_coords": [[0.080, 0.920, 0.750], [0.920, 0.080, 0.250], [0.237, 0.450, 0.351], [0.450, 0.237, 0.851], [0.550, 0.763, 0.149], [0.763, 0.550, 0.649], [0.045, 0.266, 0.025], [0.266, 0.045, 0.525], [0.734, 0.955, 0.475], [0.955, 0.734, 0.975]]}


[7]
{"formula": "CePmSb2Rh5", "functional": "PBE", "state": "relaxed", "e_tot_ev_per_cell": -58.94, "spacegroup": "P4/mmm", "lattice_angstrom": [[4.039, 0.000, 0.000], [0.000, 4.039, 0.000], [0.000, 0.000, 12.299]], "species": ["Ce", "Pm", "Sb", "Sb", "Rh", "Rh", "Rh", "Rh", "Rh"], "frac_coords": [[0.000, 0.000, 0.000], [0.500, 0.500, 0.500], [0.000, 0.000, 0.291], [0.000, 0.000, 0.709], [0.000, 0.000, 0.500], [0.000, 0.500, 0.156], [0.000, 0.500, 0.844], [0.500, 0.000, 0.156], [0.500, 0.000, 0.844]]}


[8]
{"formula": "Ce2Pm2Si4Rh", "functional": "PBE", "state": "relaxed", "e_tot_ev_per_cell": -54.47, "spacegroup": "I4/mmm", "lattice_angstrom": [[-3.558, 3.558, 4.043], [3.558, -3.558, 4.043], [3.558, 3.558, -4.043]], "species": ["Ce", "Ce", "Pm", "Pm", "Si", "Si", "Si", "Si", "Rh"], "frac_coords": [[0.170, 0.170, 0.000], [0.830, 0.830, 0.000], [0.250, 0.750, 0.500], [0.750, 0.250, 0.500], [0.260, 0.260, 0.520], [0.260, 0.740, 0.000], [0.740, 0.260, 0.000], [0.740, 0.740, 0.480], [0.500, 0.500, 0.000]]}


[9]
{"formula": "CePmSiRh", "functional": "PBE", "state": "relaxed", "relative_energy_mev_per_atom": 257, "spacegroup": "F-43m", "lattice_angstrom": [[0.000, 3.561, 3.561], [3.561, 0.000, 3.561], [3.561, 3.561, 0.000]], "species": ["Ce", "Pm", "Si", "Rh"], "frac_coords": [[0.000, 0.000, 0.000], [0.500, 0.500, 0.500], [0.250, 0.250, 0.250], [0.750, 0.750, 0.750]]}


[10]
{"formula": "CePm2Si3Rh4", "functional": "PBE", "state": "relaxed", "e_tot_ev_per_cell": -70.61, "spacegroup": "P-4m2", "lattice_angstrom": [[4.206, 0.000, 0.000], [0.000, 4.206, 0.000], [0.000, 0.000, 10.682]], "species": ["Ce", "Pm", "Pm", "Si", "Si", "Si", "Rh", "Rh", "Rh", "Rh"], "frac_coords": [[0.000, 0.000, 0.000], [0.000, 0.500, 0.727], [0.500, 0.000, 0.273], [0.000, 0.500, 0.381], [0.500, 0.000, 0.619], [0.500, 0.500, 0.000], [0.000, 0.000, 0.500], [0.000, 0.500, 0.155], [0.500, 0.000, 0.845], [0.500, 0.500, 0.500]]}


[11]
{"formula": "CePmSiRh", "functional": "PBE", "state": "relaxed", "relative_energy_mev_per_atom": 0, "spacegroup": "Amm2", "lattice_angstrom": [[4.069, 0.000, 0.000], [0.000, 2.065, 5.468], [0.000, -2.065, 5.468]], "species": ["Ce", "Pm", "Si", "Rh"], "frac_coords": [[0.000, 0.000, 0.000], [0.500, 0.719, 0.719], [0.000, 0.293, 0.293], [0.500, 0.442, 0.442]]}


[12]
{"formula": "CePm2Sn3Rh4", "functional": "PBE", "state": "relaxed", "formation_energy_ev_per_atom": -0.7355, "spacegroup": "P-4m2", "lattice_angstrom": [[4.503, 0.000, 0.000], [0.000, 4.503, 0.000], [0.000, 0.000, 11.120]], "species": ["Ce", "Pm", "Pm", "Sn", "Sn", "Sn", "Rh", "Rh", "Rh", "Rh"], "frac_coords": [[0.000, 0.000, 0.000], [0.000, 0.500, 0.720], [0.500, 0.000, 0.280], [0.000, 0.500, 0.372], [0.500, 0.000, 0.628], [0.500, 0.500, 0.000], [0.000, 0.000, 0.500], [0.000, 0.500, 0.138], [0.500, 0.000, 0.862], [0.500, 0.500, 0.500]]}


[13]
{"formula": "TbCePm2Rh2", "functional": "PBE", "state": "relaxed", "formation_energy_ev_per_atom": -0.4837, "spacegroup": "Ibam", "lattice_angstrom": [[-3.417, 6.928, 3.378], [3.417, -6.928, 3.378], [3.417, 6.928, -3.378]], "species": ["Tb", "Tb", "Ce", "Ce", "Pm", "Pm", "Pm", "Pm", "Rh", "Rh", "Rh", "Rh"], "frac_coords": [[0.250, 0.250, 0.000], [0.750, 0.750, 0.000], [0.250, 0.750, 0.500], [0.750, 0.250, 0.500], [0.193, 0.719, 0.912], [0.307, 0.219, 0.527], [0.693, 0.781, 0.473], [0.807, 0.281, 0.088], [0.109, 0.269, 0.378], [0.391, 0.769, 0.160], [0.609, 0.231, 0.840], [0.891, 0.731, 0.622]]}


[14]
{"formula": "CePmTcRh", "functional": "PBE", "state": "relaxed", "formation_energy_ev_per_atom": -0.2520, "spacegroup": "F-43m", "lattice_angstrom": [[0.000, 3.488, 3.488], [3.488, 0.000, 3.488], [3.488, 3.488, 0.000]], "species": ["Ce", "Pm", "Tc", "Rh"], "frac_coords": [[0.000, 0.000, 0.000], [0.500, 0.500, 0.500], [0.750, 0.750, 0.750], [0.250, 0.250, 0.250]]}


[15]
{"formula": "CePmTh2Rh4", "functional": "PBE", "state": "relaxed", "formation_energy_ev_per_atom": -0.7788, "spacegroup": "Fmm2", "lattice_angstrom": [[0.000, 5.731, 4.082], [4.083, 0.000, 4.082], [4.083, 5.731, 0.000]], "species": ["Ce", "Pm", "Th", "Th", "Rh", "Rh", "Rh", "Rh"], "frac_coords": [[0.000, 0.000, 0.000], [0.500, 0.500, 0.500], [0.252, 0.252, 0.248], [0.752, 0.752, 0.748], [0.000, 0.500, 0.000], [0.242, 0.761, 0.239], [0.500, 0.000, 0.500], [0.761, 0.242, 0.758]]}


[16]
{"formula": "CePmTlRh", "functional": "PBE", "state": "relaxed", "formation_energy_ev_per_atom": -0.3342, "spacegroup": "F-43m", "lattice_angstrom": [[0.000, 3.704, 3.704], [3.704, 0.000, 3.704], [3.704, 3.704, 0.000]], "species": ["Ce", "Pm", "Tl", "Rh"], "frac_coords": [[0.000, 0.000, 0.000], [0.500, 0.500, 0.500], [0.750, 0.750, 0.750], [0.250, 0.250, 0.250]]}


[17]
{"formula": "CePm2TmRh2", "functional": "PBE", "state": "relaxed", "formation_energy_ev_per_atom": -0.5103, "spacegroup": "C2/m", "lattice_angstrom": [[7.699, -3.351, 0.000], [7.699, 3.351, 0.000], [-2.929, 0.000, 6.063]], "species": ["Ce", "Ce", "Pm", "Pm", "Pm", "Pm", "Tm", "Tm", "Rh", "Rh", "Rh", "Rh"], "frac_coords": [[0.250, 0.750, 0.000], [0.750, 0.250, 0.000], [0.191, 0.191, 0.426], [0.309, 0.309, 0.044], [0.691, 0.691, 0.956], [0.809, 0.809, 0.574], [0.250, 0.750, 0.500], [0.750, 0.250, 0.500], [0.110, 0.110, 0.871], [0.390, 0.390, 0.653], [0.610, 0.610, 0.347], [0.890, 0.890, 0.129]]}


[18]
{"formula": "CePmZnRh", "functional": "PBE", "state": "relaxed", "formation_energy_ev_per_atom": -0.4346, "spacegroup": "F-43m", "lattice_angstrom": [[0.000, 3.571, 3.571], [3.571, 0.000, 3.571], [3.571, 3.571, 0.000]], "species": ["Ce", "Pm", "Zn", "Rh"], "frac_coords": [[0.000, 0.000, 0.000], [0.500, 0.500, 0.500], [0.750, 0.750, 0.750], [0.250, 0.250, 0.250]]}


[19]
{"formula": "CePm3Ru3", "functional": "PBE", "state": "relaxed", "relative_energy_mev_per_atom": 38, "formation_energy_ev_per_atom": -0.2175, "spacegroup": "C2/m", "lattice_angstrom": [[5.392, -4.702, 0.000], [5.392, 4.702, 0.000], [-0.807, 0.000, 6.613]], "species": ["Ce", "Ce", "Pm", "Pm", "Pm", "Pm", "Pm", "Pm", "Ru", "Ru", "Ru", "Ru", "Ru", "Ru"], "frac_coords": [[0.206, 0.206, 0.410], [0.794, 0.794, 0.590], [0.186, 0.814, 0.000], [0.293, 0.707, 0.500], [0.312, 0.312, 0.961], [0.688, 0.688, 0.039], [0.707, 0.293, 0.500], [0.814, 0.186, 0.000], [0.015, 0.494, 0.270], [0.072, 0.072, 0.696], [0.494, 0.015, 0.270], [0.506, 0.985, 0.730], [0.928, 0.928, 0.304], [0.985, 0.506, 0.730]]}


[20]
{"formula": "Ce12PmRu6", "functional": "PBE", "state": "relaxed", "formation_energy_ev_per_atom": -0.1458, "spacegroup": "R-3m", "lattice_angstrom": [[6.413, 3.703, 3.311], [-6.413, 3.703, 3.311], [0.000, -7.405, 3.311]], "species": ["Ce", "Ce", "Ce", "Ce", "Ce", "Ce", "Ce", "Ce", "Ce", "Ce", "Ce", "Ce", "Pm", "Ru", "Ru", "Ru", "Ru", "Ru", "Ru"], "frac_coords": [[0.000, 0.390, 0.610], [0.000, 0.610, 0.390], [0.070, 0.070, 0.327], [0.070, 0.327, 0.070], [0.327, 0.070, 0.070], [0.390, 0.000, 0.610], [0.390, 0.610, 0.000], [0.610, 0.000, 0.390], [0.610, 0.390, 0.000], [0.673, 0.930, 0.930], [0.930, 0.673, 0.930], [0.930, 0.930, 0.673], [0.500, 0.500, 0.500], [0.218, 0.218, 0.757], [0.218, 0.757, 0.218], [0.243, 0.782, 0.782], [0.757, 0.218, 0.218], [0.782, 0.243, 0.782], [0.782, 0.782, 0.243]]}


[21]
{"formula": "CePm3Ru", "functional": "PBE", "state": "relaxed", "relative_energy_mev_per_atom": 232, "formation_energy_ev_per_atom": 0.0854, "spacegroup": "Pm-3m", "lattice_angstrom": [[5.512, 0.000, 0.000], [0.000, 5.512, 0.000], [0.000, 0.000, 5.512]], "species": ["Ce", "Pm", "Pm", "Pm", "Ru"], "frac_coords": [[0.000, 0.000, 0.000], [0.000, 0.500, 0.500], [0.500, 0.000, 0.500], [0.500, 0.500, 0.000], [0.500, 0.500, 0.500]]}


[22]
{"formula": "Ce2PmRu", "functional": "PBE", "state": "relaxed", "relative_energy_mev_per_atom": 0, "formation_energy_ev_per_atom": -0.2139, "spacegroup": "Pnma", "lattice_angstrom": [[14.232, 0.000, 0.000], [0.000, 9.567, 0.000], [0.000, 0.000, 6.230]], "species": ["Ce", "Ce", "Ce", "Ce", "Ce", "Ce", "Ce", "Ce", "Ce", "Ce", "Ce", "Ce", "Ce", "Ce", "Ce", "Ce", "Pm", "Pm", "Pm", "Pm", "Pm", "Pm", "Pm", "Pm", "Ru", "Ru", "Ru", "Ru", "Ru", "Ru", "Ru", "Ru"], "frac_coords": [[0.038, 0.060, 0.246], [0.038, 0.440, 0.246], [0.212, 0.563, 0.938], [0.212, 0.937, 0.938], [0.288, 0.063, 0.438], [0.288, 0.437, 0.438], [0.462, 0.560, 0.746], [0.462, 0.940, 0.746], [0.538, 0.060, 0.254], [0.538, 0.440, 0.254], [0.712, 0.563, 0.562], [0.712, 0.937, 0.562], [0.788, 0.063, 0.062], [0.788, 0.437, 0.062], [0.962, 0.560, 0.754], [0.962, 0.940, 0.754], [0.101, 0.250, 0.734], [0.146, 0.750, 0.455], [0.354, 0.250, 0.955], [0.399, 0.750, 0.234], [0.601, 0.250, 0.766], [0.646, 0.750, 0.045], [0.854, 0.250, 0.545], [0.899, 0.750, 0.266], [0.078, 0.750, 0.971], [0.171, 0.250, 0.229], [0.329, 0.750, 0.729], [0.422, 0.250, 0.471], [0.578, 0.750, 0.529], [0.671, 0.250, 0.271], [0.829, 0.750, 0.771], [0.922, 0.250, 0.029]]}


[23]
{"formula": "CePm3Ru4", "functional": "PBE", "state": "relaxed", "formation_energy_ev_per_atom": -0.0471, "spacegroup": "Imm2", "lattice_angstrom": [[-2.807, 4.229, 4.007], [2.807, -4.229, 4.007], [2.807, 4.229, -4.007]], "species": ["Ce", "Pm", "Pm", "Pm", "Ru", "Ru", "Ru", "Ru"], "frac_coords": [[0.000, 0.000, 0.000], [0.276, 0.512, 0.764], [0.639, 0.139, 0.500], [0.749, 0.512, 0.236], [0.106, 0.861, 0.245], [0.296, 0.051, 0.756], [0.296, 0.540, 0.244], [0.616, 0.861, 0.755]]}